(1)
CaCuPbCl5 after structural relaxation. Source: Alexandria, functional PBE-GGA.

Cell lengths 8.370, 11.340, 9.333 Å; angles 90.00, 105.63, 90.00 degrees
Space group C2/c (No. 15)
Asymmetric unit:
Ca1 0.000 0.000 0.000
Cu1 0.000 0.329 0.250
Pb1 0.000 0.383 0.750
Cl1 0.000 0.120 0.750
Cl2 0.155 0.190 0.151
Cl3 0.163 0.419 0.459

Output
D(E_F) in states/eV/f.u.: 0.000
Raw formation energy in meV/atom: -1386
Density in Mg/m³: 3.80

(2)
Cs2Li2NpO6 after structural relaxation. Source: Alexandria, functional PBE-GGA.

Cell lengths 6.1052, 6.1052, 18.6251 Å; angles 90.00, 90.00, 120.00 degrees
Space group R-3m (No. 166, hexagonal axes)
Asymmetric unit:
Cs1 0.0000 0.0000 0.2174
Li1 0.0000 0.0000 0.3962
Np1 0.0000 0.0000 0.0000
O1 0.0250 0.5125 0.7296

Output
D(E_F) in states/eV/f.u.: 10.965
Raw formation energy in meV/atom: -2047
Density in Mg/m³: 5.08